Material: LiZrCu
Method: DFT, PBE-GGA
State: optimized geometry

abc: 4.4311 4.4311 2.8660
angles: 90.00 90.00 120.00
Space group P-6m2 (No. 187)
One atom of each set of equivalent atoms:
1 Li 0.0000 0.0000 0.0000 (multiplicity 1)
2 Zr 0.3333 0.6667 0.5000 (multiplicity 1)
3 Cu 0.6667 0.3333 0.0000 (multiplicity 1)

Values from the calculation:
Calculated formation energy   0.06 eV/atom
Total moment   0.000 μB per cell
Calculated total energy   -14.4 eV per formula unit
ΔE to the lowest computed polymorph   0.000 eV per atom